(1)
! meta-GGA SCAN YZrAu, PBEsol geometry; values from VASP
&SYSTEM
  ibrav = 0, nat = 3, ntyp = 3
/
ATOMIC_SPECIES
Y 88.91 Y.upf
Zr 91.22 Zr.upf
Au 196.97 Au.upf
CELL_PARAMETERS angstrom
0.000 3.358 3.358
3.358 0.000 3.358
3.358 3.358 0.000
ATOMIC_POSITIONS angstrom
Y 0.000 0.000 0.000
Zr 3.358 3.358 3.358
Au 5.037 5.037 5.037
! - VASP energy (eV per cell) = -128.9
! - energy above the most stable polymorph in this dataset (meV per atom) = 19
! - energy relative to the elements (eV per formula unit) = -1.2


(2)
! meta-GGA SCAN YZrAu, PBEsol geometry; values from VASP
&SYSTEM
  ibrav = 0, nat = 3, ntyp = 3
/
ATOMIC_SPECIES
Y 88.91 Y.upf
Zr 91.22 Zr.upf
Au 196.97 Au.upf
CELL_PARAMETERS angstrom
4.709 0.000 0.000
-2.354 4.078 0.000
0.000 0.000 3.612
ATOMIC_POSITIONS angstrom
Y 0.000 0.000 0.000
Zr 0.000 2.719 1.657
Au 2.354 1.359 2.126
! - VASP energy (eV per cell) = -129.0
! - energy above the most stable polymorph in this dataset (meV per atom) = 0
! - energy relative to the elements (eV per formula unit) = -1.3


(3)
! meta-GGA SCAN Zn5Au, PBEsol geometry; values from VASP
&SYSTEM
  ibrav = 0, nat = 6, ntyp = 2
/
ATOMIC_SPECIES
Zn 65.41 Zn.upf
Au 196.97 Au.upf
CELL_PARAMETERS angstrom
4.372 0.000 0.000
0.000 1.398 7.087
0.000 -1.398 7.087
ATOMIC_POSITIONS angstrom
Zn 0.000 0.000 0.000
Zn 0.000 0.000 4.627
Zn 0.000 0.000 9.394
Zn 2.186 0.000 3.063
Zn 2.186 0.000 7.849
Au 2.186 0.000 12.568
! - VASP energy (eV per cell) = -137.3
! - energy relative to the elements (eV per formula unit) = -0.6


(4)
! meta-GGA SCAN Zn3Au2, PBEsol geometry; values from VASP
&SYSTEM
  ibrav = 0, nat = 10, ntyp = 2
/
ATOMIC_SPECIES
Zn 65.41 Zn.upf
Au 196.97 Au.upf
CELL_PARAMETERS angstrom
0.000 6.550 2.543
4.520 0.000 2.543
4.520 6.550 0.000
ATOMIC_POSITIONS angstrom
Zn 0.000 0.000 0.000
Zn 2.260 3.275 1.271
Zn 4.917 5.257 2.715
Zn 4.122 7.844 2.715
Zn 6.382 8.532 3.986
Zn 7.177 11.119 3.986
Au 6.522 7.241 1.659
Au 4.262 2.585 2.930
Au 2.518 5.860 1.659
Au 4.778 10.516 2.930
! - VASP energy (eV per cell) = -359.8
! - energy above the most stable polymorph in this dataset (meV per atom) = 63
! - energy relative to the elements (eV per formula unit) = -1.0


(5)
! meta-GGA SCAN ZnAu5, PBEsol geometry; values from VASP
&SYSTEM
  ibrav = 0, nat = 6, ntyp = 2
/
ATOMIC_SPECIES
Zn 65.41 Zn.upf
Au 196.97 Au.upf
CELL_PARAMETERS angstrom
1.919 -6.166 0.000
1.919 6.166 0.000
0.000 0.000 4.167
ATOMIC_POSITIONS angstrom
Zn 0.000 0.000 0.000
Au 1.919 4.109 2.084
Au 1.919 1.954 0.000
Au 1.919 0.000 2.084
Au 1.919 -1.954 0.000
Au 1.919 -4.109 2.084
! - VASP energy (eV per cell) = -359.9
! - energy relative to the elements (eV per formula unit) = -0.6


(6)
! meta-GGA SCAN ZnAu5, PBEsol geometry; values from VASP
&SYSTEM
  ibrav = 0, nat = 6, ntyp = 2
/
ATOMIC_SPECIES
Zn 65.41 Zn.upf
Au 196.97 Au.upf
CELL_PARAMETERS angstrom
2.974 0.000 0.000
-0.097 5.763 0.000
-1.466 -1.429 5.763
ATOMIC_POSITIONS angstrom
Zn 0.000 0.000 0.000
Au -0.048 2.881 0.000
Au -0.006 -0.042 3.909
Au -0.044 2.926 3.873
Au 1.456 1.408 1.890
Au 1.418 4.375 1.854
! - VASP energy (eV per cell) = -359.8
! - energy relative to the elements (eV per formula unit) = -0.5


(7)
! meta-GGA SCAN Zn3Au5, PBEsol geometry; values from VASP
&SYSTEM
  ibrav = 0, nat = 16, ntyp = 2
/
ATOMIC_SPECIES
Zn 65.41 Zn.upf
Au 196.97 Au.upf
CELL_PARAMETERS angstrom
7.490 0.000 0.000
-3.745 6.487 0.000
0.000 0.000 5.278
ATOMIC_POSITIONS angstrom
Zn -1.506 2.608 1.319
Zn -2.240 3.879 3.958
Zn 3.011 0.000 1.319
Zn 1.506 2.608 3.958
Zn 4.479 0.000 3.958
Zn 2.240 3.879 1.319
Au -0.845 1.463 3.958
Au -2.900 5.024 1.319
Au 1.690 0.000 3.958
Au 0.845 1.463 1.319
Au 0.000 4.325 0.000
Au 0.000 4.325 2.639
Au 3.745 2.162 0.000
Au 3.745 2.162 2.639
Au 5.801 0.000 1.319
Au 2.900 5.024 3.958
! - VASP energy (eV per cell) = -775.2
! - energy above the most stable polymorph in this dataset (meV per atom) = 53
! - energy relative to the elements (eV per formula unit) = -1.3


(8)
! meta-GGA SCAN Zn3Au2, PBEsol geometry; values from VASP
&SYSTEM
  ibrav = 0, nat = 5, ntyp = 2
/
ATOMIC_SPECIES
Zn 65.41 Zn.upf
Au 196.97 Au.upf
CELL_PARAMETERS angstrom
4.296 0.000 0.000
-2.148 3.721 0.000
0.000 0.000 5.265
ATOMIC_POSITIONS angstrom
Zn 0.000 0.000 0.000
Zn 0.000 2.480 1.881
Zn 2.148 1.240 3.384
Au 0.000 2.480 4.416
Au 2.148 1.240 0.849
! - VASP energy (eV per cell) = -180.2
! - energy above the most stable polymorph in this dataset (meV per atom) = 0
! - energy relative to the elements (eV per formula unit) = -1.4